CeZr2Zn6 | the Alexandria database | PBE | optimized geometry; ΔE_f = -5.974 kcal/mol of atoms; DOS at the Fermi energy = 8.920 states/eV per cell; DFT total energy = -33.006 eV per cell; magnetic moment = 0.896 μB per formula unit; symmetry = P6/mmm, No. 191; crystal system = hexagonal
1.0
7.729 0.000 0.000
-3.864 6.693 0.000
0.000 0.000 3.182
Ce Zr Zn
1 2 6
direct
0.000 0.000 0.000
0.333 0.667 0.000
0.667 0.333 0.000
0.000 0.340 0.500
0.000 0.660 0.500
0.340 0.000 0.500
0.340 0.340 0.500
0.660 0.000 0.500
0.660 0.660 0.500

---

AlTlPt | the Alexandria database | PBE | optimized geometry; ΔE_f = -5.457 kcal/mol of atoms; DOS at the Fermi energy = 0.890 states/eV per cell; DFT total energy = -12.860 eV per cell; magnetic moment = 0.000 μB per formula unit; relative energy among the computed polymorphs = 0.198 eV/f.u.; symmetry = P3m1, No. 156; crystal system = trigonal
1.0
3.961 0.000 0.000
-1.981 3.431 0.000
0.000 0.000 4.932
Al Tl Pt
1 1 1
direct
0.000 0.000 0.000
0.667 0.333 0.560
0.333 0.667 0.174

---

PrGaPbAu | the Alexandria database | PBE | optimized geometry; ΔE_f = -9.580 kcal/mol of atoms; DOS at the Fermi energy = 1.946 states/eV per cell; DFT total energy = -16.454 eV per cell; magnetic moment = 0.000 μB per formula unit; symmetry = F-43m, No. 216; crystal system = cubic
1.0
0.000 3.675 3.675
3.675 0.000 3.675
3.675 3.675 0.000
Pr Ga Pb Au
1 1 1 1
direct
0.000 0.000 0.000
0.250 0.250 0.250
0.500 0.500 0.500
0.750 0.750 0.750

---

CaNdTlAu | the Alexandria database | PBE | optimized geometry; ΔE_f = -13.648 kcal/mol of atoms; DOS at the Fermi energy = 3.210 states/eV per cell; DFT total energy = -14.780 eV per cell; magnetic moment = 0.000 μB per formula unit; relative energy among the computed polymorphs = 0.000 eV/f.u.; symmetry = P4mm, No. 99; crystal system = tetragonal
1.0
3.742 0.000 0.000
0.000 3.742 0.000
0.000 0.000 7.830
Ca Nd Tl Au
1 1 1 1
direct
0.000 0.000 0.000
0.000 0.000 0.460
0.500 0.500 0.732
0.500 0.500 0.237

---

Na3PaTe4 | the Alexandria database | PBE | optimized geometry; formation energy (no corrections) = -0.9140 eV/atom; DFT total energy = -33.332 eV per cell; magnetic moment = 0.000 μB per formula unit; relative energy among the computed polymorphs = 0.226 eV/f.u.; symmetry = Cmmm, No. 65; crystal system = orthorhombic
1.0
4.554 -6.323 0.000
4.554 6.323 0.000
0.000 0.000 4.552
Na Pa Te
3 1 4
direct
0.000 0.000 0.000
0.000 0.500 0.500
0.500 0.000 0.500
0.500 0.500 0.000
0.267 0.733 0.000
0.272 0.272 0.500
0.728 0.728 0.500
0.733 0.267 0.000

---

U3Re | the Alexandria database | PBE | optimized geometry; ΔE_f = 4.664 kcal/mol of atoms; DOS at the Fermi energy = 9.245 states/eV per cell; DFT total energy = -45.504 eV per cell; magnetic moment = 0.005 μB per formula unit; relative energy among the computed polymorphs = 0.597 eV/f.u.; symmetry = Pmm2, No. 25; crystal system = orthorhombic
1.0
2.986 0.000 0.000
0.000 4.872 0.000
0.000 0.000 5.368
U Re
3 1
direct
0.000 0.000 0.000
0.000 0.500 0.208
0.500 0.500 0.692
0.500 0.000 0.508

---

CrPAu2 | the Alexandria database | PBE | optimized geometry; ΔE_f = 9.449 kcal/mol of atoms; DOS at the Fermi energy = 3.051 states/eV per cell; DFT total energy = -19.949 eV per cell; magnetic moment = 3.684 μB per formula unit; symmetry = R-3m, No. 166; crystal system = trigonal
1.0
1.559 0.900 8.165
-1.559 0.900 8.165
0.000 -1.800 8.165
Cr P Au
1 1 2
direct
0.000 0.000 0.000
0.500 0.500 0.500
0.248 0.248 0.248
0.752 0.752 0.752

---

Li4Ac2CdAg3 | the Alexandria database | PBE | optimized geometry; ΔE_f = -4.326 kcal/mol of atoms; DOS at the Fermi energy = 6.092 states/eV per cell; DFT total energy = -27.217 eV per cell; magnetic moment = 0.000 μB per formula unit; symmetry = P-4m2, No. 115; crystal system = tetragonal
1.0
4.537 0.000 0.000
0.000 4.537 0.000
0.000 0.000 11.462
Li Ac Cd Ag
4 2 1 3
direct
0.000 0.000 0.000
0.000 0.500 0.374
0.500 0.000 0.626
0.500 0.500 0.000
0.000 0.500 0.745
0.500 0.000 0.255
0.500 0.500 0.500
0.000 0.000 0.500
0.000 0.500 0.140
0.500 0.000 0.860

---

Ca8CdIn2 | the Alexandria database | PBE | optimized geometry; ΔE_f = -5.393 kcal/mol of atoms; DOS at the Fermi energy = 7.841 states/eV per cell; DFT total energy = -24.977 eV per cell; magnetic moment = 0.001 μB per formula unit; relative energy among the computed polymorphs = 0.557 eV/f.u.; symmetry = Immm, No. 71; crystal system = orthorhombic
1.0
-2.696 4.469 7.645
2.696 -4.469 7.645
2.696 4.469 -7.645
Ca Cd In
8 1 2
direct
0.128 0.342 0.786
0.141 0.141 0.000
0.316 0.000 0.316
0.444 0.658 0.786
0.556 0.342 0.214
0.684 0.000 0.684
0.859 0.859 0.000
0.872 0.658 0.214
0.000 0.500 0.500
0.305 0.805 0.500
0.695 0.195 0.500

---

NaScSn | the Alexandria database | PBE | optimized geometry; ΔE_f = -5.464 kcal/mol of atoms; DOS at the Fermi energy = 3.624 states/eV per cell; DFT total energy = -24.729 eV per cell; magnetic moment = 0.000 μB per formula unit; symmetry = P-1, No. 2; crystal system = triclinic
1.0
4.474 0.000 0.000
2.233 4.929 0.000
0.029 2.521 7.653
Na Sc Sn
2 2 2
direct
0.172 0.161 0.114
0.828 0.839 0.886
0.378 0.742 0.567
0.622 0.258 0.433
0.104 0.289 0.684
0.896 0.711 0.316

---

PaGaFePt | the Alexandria database | PBE | optimized geometry; ΔE_f = -8.796 kcal/mol of atoms; DOS at the Fermi energy = 4.803 states/eV per cell; DFT total energy = -28.552 eV per cell; magnetic moment = 1.388 μB per formula unit; symmetry = F-43m, No. 216; crystal system = cubic
1.0
0.000 3.291 3.291
3.291 0.000 3.291
3.291 3.291 0.000
Pa Ga Fe Pt
1 1 1 1
direct
0.000 0.000 0.000
0.500 0.500 0.500
0.750 0.750 0.750
0.250 0.250 0.250

---

Nd2Si4Ir3Rh | the Alexandria database | PBE | optimized geometry; formation energy (no corrections) = -1.0454 eV/atom; DOS at the Fermi energy = 5.359 states/eV per cell; DFT total energy = -75.616 eV per cell; magnetic moment = 0.000 μB per formula unit; symmetry = P-4m2, No. 115; crystal system = tetragonal
1.0
4.198 0.000 0.000
0.000 4.198 0.000
0.000 0.000 9.884
Nd Si Ir Rh
2 4 3 1
direct
0.000 0.500 0.244
0.500 0.000 0.756
0.000 0.000 0.000
0.000 0.500 0.629
0.500 0.000 0.371
0.500 0.500 0.000
0.000 0.500 0.874
0.500 0.000 0.126
0.500 0.500 0.500
0.000 0.000 0.500

---

> Among the records above, which one has the highest DFT total energy?

AlTlPt

---

What did the first record say?
CeZr2Zn6 | the Alexandria database | PBE | optimized geometry; ΔE_f = -5.974 kcal/mol of atoms; DOS at the Fermi energy = 8.920 states/eV per cell; DFT total energy = -33.006 eV per cell; magnetic moment = 0.896 μB per formula unit; symmetry = P6/mmm, No. 191; crystal system = hexagonal
1.0
7.729 0.000 0.000
-3.864 6.693 0.000
0.000 0.000 3.182
Ce Zr Zn
1 2 6
direct
0.000 0.000 0.000
0.333 0.667 0.000
0.667 0.333 0.000
0.000 0.340 0.500
0.000 0.660 0.500
0.340 0.000 0.500
0.340 0.340 0.500
0.660 0.000 0.500
0.660 0.660 0.500

---

> Number 3 is which compound?

PrGaPbAu